No. 1
First-principles (PBE-GGA) data for a relaxed structure of Gd2YSn5Pb2, as listed in OQMD via LeMat-Bulk.

```
Gd2YSn5Pb2
1.0
2.2313 -13.3656 0.0000
2.2313 13.3656 0.0000
0.0000 0.0000 4.4854
Pb Sn Gd Y
2 5 2 1
direct
0.7090 0.2910 0.0000 Pb
0.2910 0.7090 0.0000 Pb
0.4051 0.5949 0.5000 Sn
0.9048 0.0952 0.0000 Sn
0.0000 0.0000 0.5000 Sn
0.5949 0.4051 0.5000 Sn
0.0952 0.9048 0.0000 Sn
0.1870 0.8130 0.5000 Gd
0.8130 0.1870 0.5000 Gd
0.5000 0.5000 0.0000 Y
```

Summary:
* E above lowest polymorph: 0.12 eV/f.u.



No. 2
First-principles (PBE-GGA) data for a relaxed structure of HoTm3Pd4, as listed in OQMD via LeMat-Bulk.

```
HoTm3Pd4
1.0
5.5200 0.0000 0.0000
0.0000 4.5711 0.0000
-0.0297 0.0000 6.8118
Pd Tm Ho
4 3 1
direct
0.3427 0.0000 0.0433 Pd
0.6560 0.5000 0.9616 Pd
0.8455 0.5000 0.4545 Pd
0.1561 0.0000 0.5410 Pd
0.8557 0.0000 0.1821 Tm
0.1442 0.5000 0.8178 Tm
0.3548 0.5000 0.3173 Tm
0.6451 0.0000 0.6825 Ho
```

Summary:
* formation enthalpy at 0 K: -0.96 eV/atom



No. 3
First-principles (PBE-GGA) data for a relaxed structure of PmB4Pt, as listed in OQMD via LeMat-Bulk.

```
PmB4Pt
1.0
-1.5076 -0.9009 -2.7684
2.1152 -2.0401 1.4534
-5.2491 -2.7648 3.7582
B Pm Pt
4 1 1
direct
0.6667 0.3333 0.2194 B
0.6667 0.3333 0.7806 B
0.3333 0.6667 0.7806 B
0.3333 0.6667 0.2194 B
0.0000 0.0000 0.5000 Pm
0.0000 0.0000 0.0000 Pt
```

Summary:
* E above lowest polymorph: 0.03 eV/f.u.



No. 4
First-principles (PBE-GGA) data for a relaxed structure of ErMgTeAuSe2, as listed in OQMD via LeMat-Bulk.

```
ErMgTeAuSe2
1.0
-0.2340 1.7369 6.9439
-2.0389 1.3969 -6.7216
-8.6745 -6.3839 1.3045
Au Er Te Mg Se
2 2 2 2 4
direct
0.0229 0.9771 0.7500 Au
0.9771 0.0229 0.2500 Au
0.5000 0.5000 0.5000 Er
0.5000 0.5000 0.0000 Er
0.6242 0.3758 0.2500 Te
0.3758 0.6242 0.7500 Te
0.6947 0.3053 0.7500 Mg
0.3053 0.6947 0.2500 Mg
0.1448 0.8552 0.5645 Se
0.8552 0.1448 0.4355 Se
0.8552 0.1448 0.0645 Se
0.1448 0.8552 0.9355 Se
```

Summary:
* E: -4.214 eV/atom



No. 5
First-principles (PBE-GGA) data for a relaxed structure of TbOsNO, as listed in OQMD via LeMat-Bulk.

```
TbOsNO
1.0
-4.8192 -1.0120 0.3724
0.9836 -4.8243 -0.3815
0.3802 -0.2564 4.2228
Os O N Tb
2 2 2 2
direct
0.7500 0.7500 0.9969 Os
0.2500 0.2500 0.0031 Os
0.7500 0.2500 0.0000 O
0.2500 0.7500 0.0000 O
0.7500 0.7500 0.4967 N
0.2500 0.2500 0.5033 N
0.7500 0.2500 0.5000 Tb
0.2500 0.7500 0.5000 Tb
```

Summary:
* E above lowest polymorph: 3.32 eV/f.u.



No. 6
First-principles (PBE-GGA) data for a relaxed structure of NaTmHgS3, as listed in OQMD via LeMat-Bulk.

```
NaTmHgS3
1.0
-3.8755 0.9653 -0.0583
-3.5337 -5.8379 1.4069
0.4062 2.2582 10.3906
S Hg Na Tm
6 2 2 2
direct
0.0793 0.8414 0.7500 S
0.6353 0.7294 0.0445 S
0.6353 0.7294 0.4555 S
0.3647 0.2706 0.9555 S
0.3647 0.2706 0.5445 S
0.9207 0.1586 0.2500 S
0.5504 0.8993 0.2500 Hg
0.4496 0.1007 0.7500 Hg
0.2595 0.4810 0.2500 Na
0.7405 0.5189 0.7500 Na
0.0000 0.0000 0.5000 Tm
0.0000 0.0000 0.0000 Tm
```

Summary:
* E above lowest polymorph: 0.04 eV/f.u.